(1)
SnN3Cl | PBE-GGA | relaxed

## Properties
ρ: 5.749 g/cm3
final energy: -19.2 eV per cell
M_tot: 0.000 μB per formula unit

Unit cell a=3.841 b=3.841 c=3.841 alpha=90.00 beta=90.00 gamma=90.00
Fractional coordinates of all 5 atoms:
Sn 0.000 0.000 0.000
N 0.000 0.500 0.500
N 0.500 0.000 0.500
N 0.500 0.500 0.000
Cl 0.500 0.500 0.500

***

(2)
SnN2Cl3 | PBE-GGA | relaxed

## Properties
ρ: 2.250 g/cm3
final energy: -19.3 eV per cell
M_tot: 5.995 μB per formula unit

Unit cell a=9.725 b=9.725 c=3.904 alpha=99.69 beta=99.69 gamma=30.91
Fractional coordinates of all 6 atoms:
Sn 0.000 0.000 0.000
N 0.304 0.304 0.807
N 0.696 0.696 0.193
Cl 0.098 0.098 0.582
Cl 0.500 0.500 0.000
Cl 0.902 0.902 0.418

***

(3)
SnNCl3 | PBE-GGA | relaxed

## Properties
ρ: 4.117 g/cm3
final energy: -15.2 eV per cell
distance to the lowest polymorph of the same formula: 0.85 eV per formula unit
M_tot: 0.000 μB per formula unit

Unit cell a=4.586 b=4.586 c=4.586 alpha=90.00 beta=90.00 gamma=90.00
Fractional coordinates of all 5 atoms:
Sn 0.000 0.000 0.000
N 0.500 0.500 0.500
Cl 0.000 0.500 0.500
Cl 0.500 0.000 0.500
Cl 0.500 0.500 0.000